{
  "formula": "Pm5Y2Tm2",
  "functional": "GGA-PBE",
  "state": "optimized geometry",
  "lattice_angstrom": [[3.510, -0.444, -0.831], [-1.457, 7.163, -2.027], [0.935, -2.129, 13.031]],
  "species": ["Pm", "Pm", "Y", "Pm", "Pm", "Tm", "Pm", "Y", "Tm"],
  "fractional_positions": [[0.606, 0.821, 0.390], [0.000, 0.000, 0.000], [0.263, 0.189, 0.337], [0.800, 0.412, 0.188], [0.394, 0.179, 0.610], [0.415, 0.725, 0.107], [0.200, 0.588, 0.812], [0.737, 0.811, 0.663], [0.585, 0.275, 0.893]],
  "magnetic_moment_mub_per_atom": 0.000
}



{
  "formula": "Pm5YTm4",
  "functional": "GGA-PBE",
  "state": "optimized geometry",
  "lattice_angstrom": [[0.204, 1.953, -6.771], [3.230, -2.473, -7.954], [-5.500, -6.604, -2.063]],
  "species": ["Tm", "Pm", "Pm", "Tm", "Tm", "Tm", "Y", "Pm", "Pm", "Pm"],
  "fractional_positions": [[0.597, 0.200, 0.602], [0.103, 0.201, 0.600], [0.303, 0.000, 0.999], [0.158, 0.390, 0.218], [0.500, 0.801, 0.398], [0.943, 0.609, 0.782], [0.796, 0.000, 0.000], [0.995, 0.799, 0.400], [0.658, 0.390, 0.218], [0.438, 0.609, 0.783]],
  "magnetic_moment_mub_per_atom": 0.000
}



{
  "formula": "Pm2YTm",
  "functional": "GGA-PBE",
  "state": "optimized geometry",
  "lattice_angstrom": [[-0.090, 3.374, -1.284], [0.169, 0.582, -3.560], [-11.556, 0.767, -2.255]],
  "species": ["Pm", "Pm", "Y", "Tm"],
  "fractional_positions": [[0.251, 0.251, 0.248], [0.083, 0.083, 0.752], [0.500, 0.500, 0.500], [0.667, 0.667, 0.999]],
  "magnetic_moment_mub_per_atom": 0.000
}



{
  "formula": "PmY3Tm12",
  "functional": "GGA-PBE",
  "state": "optimized geometry",
  "lattice_angstrom": [[-4.376, -1.794, 1.522], [2.266, -4.076, 1.711], [2.525, 8.813, 17.650]],
  "species": ["Y", "Tm", "Y", "Y", "Pm", "Tm", "Tm", "Tm", "Tm", "Tm", "Tm", "Tm", "Tm", "Tm", "Tm", "Tm"],
  "fractional_positions": [[0.000, 0.000, 0.250], [0.000, 0.500, 0.126], [0.000, 0.000, 0.750], [0.000, 0.000, 0.500], [0.000, 0.000, 0.000], [0.500, 0.000, 0.126], [0.500, 0.500, 0.000], [0.500, 0.500, 0.500], [0.000, 0.500, 0.874], [0.500, 0.500, 0.749], [0.500, 0.000, 0.874], [0.500, 0.000, 0.375], [0.000, 0.500, 0.625], [0.000, 0.500, 0.375], [0.500, 0.500, 0.251], [0.500, 0.000, 0.625]],
  "magnetic_moment_mub_per_atom": 0.000
}



{
  "formula": "Pm10Y4Tm",
  "functional": "GGA-PBE",
  "state": "optimized geometry",
  "lattice_angstrom": [[7.105, 0.000, 3.208], [3.552, 8.735, 1.604], [-0.043, 0.000, 9.565]],
  "species": ["Pm", "Pm", "Pm", "Y", "Pm", "Pm", "Pm", "Tm", "Pm", "Pm", "Pm", "Y", "Y", "Pm", "Y"],
  "fractional_positions": [[0.950, 0.900, 0.702], [0.050, 0.100, 0.298], [0.149, 0.298, 0.900], [0.600, 0.199, 0.600], [0.553, 0.100, 0.298], [0.750, 0.500, 0.500], [0.347, 0.702, 0.100], [0.000, 0.000, 0.000], [0.447, 0.900, 0.702], [0.653, 0.298, 0.900], [0.851, 0.702, 0.100], [0.201, 0.400, 0.199], [0.799, 0.600, 0.801], [0.250, 0.500, 0.500], [0.400, 0.801, 0.400]],
  "magnetic_moment_mub_per_atom": 0.000
}



{
  "formula": "PmY5Tm2",
  "functional": "GGA-PBE",
  "state": "optimized geometry",
  "lattice_angstrom": [[-1.641, -2.768, -3.854], [-0.456, -5.681, 4.275], [-13.443, 3.497, 3.213]],
  "species": ["Y", "Y", "Y", "Y", "Tm", "Tm", "Pm", "Y", "Y", "Tm", "Tm", "Y", "Y", "Y", "Pm", "Y"],
  "fractional_positions": [[0.500, 0.251, 0.375], [0.000, 0.500, 0.500], [0.000, 0.499, 0.750], [0.500, 0.749, 0.625], [0.500, 0.751, 0.375], [0.500, 0.249, 0.625], [0.000, 0.000, 0.500], [0.500, 0.751, 0.125], [0.000, 0.501, 0.250], [0.500, 0.749, 0.875], [0.500, 0.251, 0.125], [0.500, 0.249, 0.875], [0.000, 0.999, 0.750], [0.000, 0.001, 0.250], [0.000, 0.500, 0.000], [0.000, 0.000, 0.000]],
  "magnetic_moment_mub_per_atom": 0.000
}



Number 1: E_form 0.16 eV/atom. Number 2: E_form 0.05 eV/atom. Number 3: E_form 0.02 eV/atom. Number 4: E_form 0.03 eV/atom. Number 5: E_form 0.72 eV/atom. Number 6: E_form 0.02 eV/atom.